[1]
VASP calculation (PBE) on a relaxed structure of Cd2CuSiS4.

Summary:
The space-group type is I-42m. The calculation puts the raw total energy at -30.5 eV/f.u. As for the mass density: 4.14 g/cm³.

abc: 6.901 6.901 6.901
angles: 131.92 131.92 70.35
Fractional positions:
S1 0.359 0.359 0.508
Cd1 0.250 0.750 0.500
S2 0.149 0.641 0.000
Cu1 0.000 0.000 0.000
Cd2 0.750 0.250 0.500
Si1 0.500 0.500 0.000
S3 0.851 0.851 0.492
S4 0.641 0.149 0.000


[2]
VASP calculation (PBE) on a relaxed structure of CdCu2SiTe2S2.

Summary:
The space-group type is C2. As for the mass density: 5.20 g/cm³. For the energy above the most stable polymorph in this dataset, the calculation gives 0.000 eV/f.u.

abc: 6.835 6.835 5.802
angles: 113.25 113.25 50.17
Fractional positions:
Cu1 0.756 0.742 0.300
Cu2 0.258 0.244 0.700
Te1 0.861 0.417 0.864
S1 0.145 0.602 0.594
Si1 0.467 0.533 0.500
Te2 0.583 0.139 0.136
Cd1 0.031 0.969 0.000
S2 0.398 0.855 0.406


[3]
VASP calculation (PBE) on a relaxed structure of CdCu2SiTe2S2.

Summary:
The space-group type is Fmm2. As for the mass density: 5.16 g/cm³. For the energy above the most stable polymorph in this dataset, the calculation gives 0.149 eV/f.u.

abc: 6.958 6.925 5.810
angles: 65.56 64.96 49.47
Fractional positions:
S1 0.419 0.850 0.581
Cu1 0.728 0.728 0.772
Cd1 0.019 0.019 0.981
Te1 0.139 0.600 0.400
S2 0.850 0.419 0.150
Cu2 0.228 0.228 0.272
Te2 0.600 0.139 0.861
Si1 0.517 0.517 0.483


[4]
VASP calculation (PBE) on a relaxed structure of CdCu2SnTe3S.

Summary:
The space-group type is Cm. The calculation puts the raw total energy at -27.9 eV/f.u. As for the mass density: 5.63 g/cm³.

abc: 6.137 6.137 7.406
angles: 113.98 113.98 90.10
Fractional positions:
Cd1 0.024 0.024 0.020
Sn1 0.490 0.490 0.012
Te1 0.109 0.609 0.717
Te2 0.609 0.109 0.717
Cu1 0.717 0.269 0.482
S1 0.393 0.393 0.276
Cu2 0.269 0.717 0.482
Te3 0.889 0.889 0.295


[5]
VASP calculation (PBE) on a relaxed structure of YCdCuS3.

Summary:
The space-group type is Cmcm. The calculation puts the raw total energy at -29.5 eV/f.u. The total moment comes out at 0.0 μB/cell. As for the mass density: 4.93 g/cm³.

abc: 6.481 6.481 10.350
angles: 90.00 90.00 145.97
Fractional positions:
S1 0.857 0.143 0.920
Cd1 0.738 0.262 0.250
Cd2 0.262 0.738 0.750
Y1 0.500 0.500 0.000
S2 0.143 0.857 0.420
Y2 0.500 0.500 0.500
Cu1 0.978 0.022 0.750
S3 0.405 0.595 0.250
S4 0.857 0.143 0.580
S5 0.595 0.405 0.750
Cu2 0.022 0.978 0.250
S6 0.143 0.857 0.080


[6]
VASP calculation (PBE) on a relaxed structure of CdCuSb.

Summary:
The space-group type is P-62m. The calculation puts the raw total energy at -7.7 eV/f.u. As for the mass density: 7.53 g/cm³.

abc: 7.592 7.592 3.947
angles: 90.00 90.00 120.00
Fractional positions:
Cu1 0.385 0.385 0.500
Cd1 0.000 0.278 0.000
Cu2 0.000 0.615 0.500
Sb1 0.000 0.000 0.500
Sb2 0.333 0.667 0.000
Cd2 0.722 0.722 0.000
Cu3 0.615 0.000 0.500
Sb3 0.667 0.333 0.000
Cd3 0.278 0.000 0.000


[7]
VASP calculation (PBE) on a relaxed structure of CdCuSb.

Summary:
The space-group type is P-62m. The calculation puts the raw total energy at -7.7 eV/f.u. As for the mass density: 7.59 g/cm³.

abc: 7.880 7.880 3.634
angles: 90.00 90.00 120.00
Fractional positions:
Sb1 0.000 0.299 0.000
Sb2 0.299 0.000 0.000
Cu1 0.581 0.000 0.500
Sb3 0.701 0.701 0.000
Cd1 0.667 0.333 0.000
Cu2 0.000 0.581 0.500
Cd2 0.000 0.000 0.500
Cd3 0.333 0.667 0.000
Cu3 0.419 0.419 0.500


[8]
VASP calculation (PBE) on a relaxed structure of CdCuSb.

Summary:
The space-group type is P6_3/mmc. The calculation puts the raw total energy at -7.6 eV/f.u. As for the mass density: 7.98 g/cm³.

abc: 4.871 4.871 6.026
angles: 90.00 90.00 120.00
Fractional positions:
Cu1 0.000 0.000 0.500
Cd1 0.333 0.667 0.250
Cu2 0.000 0.000 0.000
Sb1 0.667 0.333 0.250
Sb2 0.333 0.667 0.750
Cd2 0.667 0.333 0.750


[9]
VASP calculation (PBE) on a relaxed structure of CdCuSb.

Summary:
The space-group type is P6_3mc. The calculation puts the raw total energy at -8.6 eV/f.u. As for the mass density: 6.67 g/cm³.

abc: 4.539 4.539 8.306
angles: 90.00 90.00 120.00
Fractional positions:
Cd1 0.667 0.333 0.512
Cu1 0.000 0.000 0.892
Sb1 0.667 0.333 0.846
Cu2 0.000 0.000 0.392
Sb2 0.333 0.667 0.346
Cd2 0.333 0.667 0.012


[10]
VASP calculation (PBE) on a relaxed structure of CdCuSb.

Summary:
The space-group type is P6_3/mmc. The calculation puts the raw total energy at -8.3 eV/f.u. As for the mass density: 7.47 g/cm³.

abc: 4.384 4.384 7.950
angles: 90.00 90.00 120.00
Fractional positions:
Cd1 0.000 0.000 0.500
Sb1 0.333 0.667 0.250
Cd2 0.000 0.000 0.000
Cu1 0.333 0.667 0.750
Cu2 0.667 0.333 0.250
Sb2 0.667 0.333 0.750


[11]
VASP calculation (PBE) on a relaxed structure of CdCuSb.

Summary:
The space-group type is Pnma. The calculation puts the raw total energy at -8.4 eV/f.u. As for the mass density: 8.19 g/cm³.

abc: 7.123 3.992 8.494
angles: 90.00 90.00 90.00
Fractional positions:
Sb1 0.058 0.750 0.836
Cu1 0.233 0.750 0.135
Cd1 0.869 0.250 0.561
Cd2 0.131 0.750 0.439
Sb2 0.442 0.250 0.336
Cu2 0.767 0.250 0.865
Cu3 0.267 0.250 0.635
Sb3 0.558 0.750 0.664
Cu4 0.733 0.750 0.365
Sb4 0.942 0.250 0.164
Cd3 0.369 0.250 0.939
Cd4 0.631 0.750 0.061


[12]
VASP calculation (PBE) on a relaxed structure of CdCuSb.

Summary:
The space-group type is Pnma. The calculation puts the raw total energy at -8.2 eV/f.u. As for the mass density: 8.08 g/cm³.

abc: 6.548 3.970 9.412
angles: 90.00 90.00 90.00
Fractional positions:
Cd1 0.855 0.250 0.561
Cd2 0.645 0.750 0.061
Cd3 0.145 0.750 0.439
Cd4 0.355 0.250 0.939
Cu1 0.129 0.750 0.728
Sb1 0.901 0.250 0.864
Sb2 0.099 0.750 0.136
Cu2 0.371 0.250 0.228
Cu3 0.871 0.250 0.272
Cu4 0.629 0.750 0.772
Sb3 0.599 0.750 0.364
Sb4 0.401 0.250 0.636


The lowest mass density belongs to which entry? Cd2CuSiS4


Which formula does entry 6 have? CdCuSb


Which of these has the lowest mass density? Cd2CuSiS4